A geometry-optimized Sr3CaPt structure, computed with PBE-GGA.

```
Sr3CaPt
1.0
7.2977 -4.2295 0.0000
7.2977 4.2295 0.0000
-4.3199 0.0000 13.9639
Sr Ca Pt
12 4 4
direct
0.1181 0.6353 0.8743
0.1252 0.6217 0.3755
0.3647 0.8819 0.6257
0.3679 0.3838 0.1242
0.3783 0.8748 0.1245
0.3838 0.3679 0.6242
0.6162 0.6321 0.3758
0.6217 0.1252 0.8755
0.6321 0.6162 0.8758
0.6353 0.1181 0.3743
0.8748 0.3783 0.6245
0.8819 0.3647 0.1257
0.1017 0.1507 0.8744
0.1507 0.1017 0.3744
0.8493 0.8983 0.6256
0.8983 0.8493 0.1256
0.0000 0.5000 0.0000
0.2430 0.7570 0.2500
0.5000 0.0000 0.5000
0.7570 0.2430 0.7500
```

Results
As for the total energy: -3.064 eV per atom. The calculation puts the calculated density at 3.84 g cm⁻³. For the density of states at the Fermi level, the calculation gives 10.9 states/eV per cell. For the formation energy, the calculation gives -447 meV/atom. For the total magnetization, the calculation gives 0.00 μB/f.u. The calculation puts the distance to the lowest polymorph of the same formula at 0.00 eV per formula unit.